First-principles (PBE-GGA) data for an optimized crystal structure of Ac4NiAuCl2, as listed in the Alexandria database.

Its density of states at the Fermi level is 7.34 states/eV per cell. As for the total magnetization: 0.0 Bohr magnetons per cell. Its energy relative to the elements, uncorrected is -1025 meV/atom. As for the total energy: -4.67 eV/atom.

It has space group P2/m (No. 10), with a = 7.7430 Å, b = 4.4470 Å, c = 8.0610 Å, α = 90.00°, β = 108.72° and γ = 90.00°. The distinct sites, in fractional coordinates, are Ac at (0.2276, 0.0000, 0.2130), Ac at (0.2417, 0.5000, 0.7833), Ni at (0.0000, 0.5000, 0.0000), Au at (0.5000, 0.0000, 0.0000), Cl at (0.0000, 0.0000, 0.5000) and Cl at (0.5000, 0.5000, 0.5000).

First-principles (PBE-GGA) data for an optimized crystal structure of Ac2AuClO4, as listed in the Alexandria database.

Its density of states at the Fermi level is 0.88 states/eV per cell. As for the total magnetization: 0.0 Bohr magnetons per cell. Its energy relative to the elements, uncorrected is -2055 meV/atom. As for the total energy: -6.20 eV/atom.

It has space group C2/m (No. 12), with a = 9.2428 Å, b = 3.8745 Å, c = 9.3252 Å, α = 90.00°, β = 112.04° and γ = 90.00°. The distinct sites, in fractional coordinates, are Ac at (0.1907, 0.0000, 0.2803), Au at (0.0000, 0.0000, 0.5000), Cl at (0.0000, 0.5000, 0.0000), O at (0.1283, 0.5000, 0.4389) and O at (0.1396, 0.0000, 0.7282).

First-principles (PBE-GGA) data for an optimized crystal structure of AcAuClO2, as listed in the Alexandria database.

Its density of states at the Fermi level is 7.35 states/eV per cell. As for the total magnetization: 0.0 Bohr magnetons per cell. Its energy relative to the elements, uncorrected is -1785 meV/atom. As for the total energy: -5.62 eV/atom.

It has space group P2_1/m (No. 11), with a = 6.5945 Å, b = 4.0446 Å, c = 7.8268 Å, α = 90.00°, β = 108.02° and γ = 90.00°. The distinct sites, in fractional coordinates, are Ac at (0.1315, 0.2500, 0.2299), Au at (0.4084, 0.2500, 0.8736), Cl at (0.2387, 0.7500, 0.5823), O at (0.1125, 0.2500, 0.9040) and O at (0.3274, 0.7500, 0.1989).

First-principles (PBE-GGA) data for an optimized crystal structure of Ac8Os3AuCl4, as listed in the Alexandria database.

Its density of states at the Fermi level is 9.79 states/eV per cell. As for the total magnetization: 0.0 Bohr magnetons per cell. Its energy relative to the elements, uncorrected is -941 meV/atom. As for the total energy: -5.77 eV/atom.

It has space group C2/m (No. 12), with a = 15.1474 Å, b = 8.7481 Å, c = 9.4188 Å, α = 90.00°, β = 122.51° and γ = 90.00°. The distinct sites, in fractional coordinates, are Ac at (0.0196, 0.2367, 0.2964), Ac at (0.2353, 0.0000, 0.7052), Ac at (0.2436, 0.5000, 0.7035), Os at (0.0000, 0.0000, 0.5000), Os at (0.2500, 0.2500, 0.5000), Au at (0.0000, 0.5000, 0.5000), Cl at (0.0000, 0.0000, 0.0000), Cl at (0.0000, 0.5000, 0.0000) and Cl at (0.2500, 0.2500, 0.0000).

First-principles (PBE-GGA) data for an optimized crystal structure of Ac4PAuCl2, as listed in the Alexandria database.

Its density of states at the Fermi level is 4.44 states/eV per cell. As for the total magnetization: 0.0 Bohr magnetons per cell. Its energy relative to the elements, uncorrected is -1332 meV/atom. As for the total energy: -4.93 eV/atom.

It has space group P2/m (No. 10), with a = 7.5439 Å, b = 4.4555 Å, c = 7.9533 Å, α = 90.00°, β = 110.06° and γ = 90.00°. The distinct sites, in fractional coordinates, are Ac at (0.2341, 0.0000, 0.2495), Ac at (0.2362, 0.5000, 0.7367), P at (0.0000, 0.0000, 0.5000), Au at (0.0000, 0.5000, 0.0000), Cl at (0.5000, 0.0000, 0.0000) and Cl at (0.5000, 0.5000, 0.5000).

First-principles (PBE-GGA) data for an optimized crystal structure of Ac4PtAuCl2, as listed in the Alexandria database.

Its density of states at the Fermi level is 6.20 states/eV per cell. As for the total magnetization: 0.0 Bohr magnetons per cell. Its energy relative to the elements, uncorrected is -1282 meV/atom. As for the total energy: -4.96 eV/atom.

It has space group P2/m (No. 10), with a = 7.8034 Å, b = 4.5281 Å, c = 8.0864 Å, α = 90.00°, β = 108.86° and γ = 90.00°. The distinct sites, in fractional coordinates, are Ac at (0.2315, 0.0000, 0.2151), Ac at (0.2497, 0.5000, 0.7836), Pt at (0.0000, 0.5000, 0.0000), Au at (0.5000, 0.0000, 0.0000), Cl at (0.0000, 0.0000, 0.5000) and Cl at (0.5000, 0.5000, 0.5000).

First-principles (PBE-GGA) data for an optimized crystal structure of Ac4RhAuCl2, as listed in the Alexandria database.

Its density of states at the Fermi level is 5.02 states/eV per cell. As for the total magnetization: 0.0 Bohr magnetons per cell. Its energy relative to the elements, uncorrected is -1193 meV/atom. As for the total energy: -5.04 eV/atom.

It has space group P2/m (No. 10), with a = 7.7622 Å, b = 4.4393 Å, c = 8.3101 Å, α = 90.00°, β = 108.76° and γ = 90.00°. The distinct sites, in fractional coordinates, are Ac at (0.2278, 0.0000, 0.2064), Ac at (0.2454, 0.5000, 0.7918), Rh at (0.0000, 0.5000, 0.0000), Au at (0.5000, 0.0000, 0.0000), Cl at (0.0000, 0.0000, 0.5000) and Cl at (0.5000, 0.5000, 0.5000).

First-principles (PBE-GGA) data for an optimized crystal structure of Ac6Rh3Au2Cl, as listed in the Alexandria database.

Its density of states at the Fermi level is 10.25 states/eV per cell. As for the total magnetization: 0.0 Bohr magnetons per cell. Its energy relative to the elements, uncorrected is -931 meV/atom. As for the total energy: -5.52 eV/atom.

It has space group C2/m (No. 12), with a = 19.7308 Å, b = 4.3398 Å, c = 9.1280 Å, α = 90.00°, β = 106.94° and γ = 90.00°. The distinct sites, in fractional coordinates, are Ac at (0.0073, 0.0000, 0.2274), Ac at (0.1606, 0.5000, 0.0980), Ac at (0.1750, 0.5000, 0.5657), Rh at (0.0000, 0.5000, 0.0000), Rh at (0.1647, 0.0000, 0.3330), Au at (0.1640, 0.0000, 0.8279) and Cl at (0.0000, 0.5000, 0.5000).

First-principles (PBE-GGA) data for an optimized crystal structure of Ac3RhAuCl, as listed in the Alexandria database.

Its density of states at the Fermi level is 7.54 states/eV per cell. As for the total magnetization: 0.0 Bohr magnetons per cell. Its energy relative to the elements, uncorrected is -949 meV/atom. As for the total energy: -5.08 eV/atom.

It has space group P2_1/m (No. 11), with a = 8.8687 Å, b = 4.4315 Å, c = 9.9324 Å, α = 90.00°, β = 100.98° and γ = 90.00°. The distinct sites, in fractional coordinates, are Ac at (0.0667, 0.2500, 0.3428), Ac at (0.2151, 0.2500, 0.9697), Ac at (0.3804, 0.7500, 0.6171), Rh at (0.1625, 0.2500, 0.6457), Au at (0.2989, 0.7500, 0.2591) and Cl at (0.4212, 0.7500, 0.9098).

First-principles (PBE-GGA) data for an optimized crystal structure of Ac4RhAu2Cl, as listed in the Alexandria database.

Its density of states at the Fermi level is 5.36 states/eV per cell. As for the total magnetization: 0.0 Bohr magnetons per cell. Its energy relative to the elements, uncorrected is -970 meV/atom. As for the total energy: -4.99 eV/atom.

It has space group P2/m (No. 10), with a = 7.7078 Å, b = 4.4764 Å, c = 7.9024 Å, α = 90.00°, β = 108.69° and γ = 90.00°. The distinct sites, in fractional coordinates, are Ac at (0.2365, 0.0000, 0.2251), Ac at (0.2469, 0.5000, 0.7732), Rh at (0.0000, 0.5000, 0.0000), Au at (0.5000, 0.0000, 0.0000), Au at (0.5000, 0.5000, 0.5000) and Cl at (0.0000, 0.0000, 0.5000).

First-principles (PBE-GGA) data for an optimized crystal structure of Ac4RuAuCl2, as listed in the Alexandria database.

Its density of states at the Fermi level is 3.79 states/eV per cell. As for the total magnetization: 0.0 Bohr magnetons per cell. Its energy relative to the elements, uncorrected is -1082 meV/atom. As for the total energy: -5.17 eV/atom.

It has space group P2/m (No. 10), with a = 7.7261 Å, b = 4.3929 Å, c = 8.3840 Å, α = 90.00°, β = 108.63° and γ = 90.00°. The distinct sites, in fractional coordinates, are Ac at (0.2257, 0.0000, 0.2054), Ac at (0.2399, 0.5000, 0.7935), Ru at (0.0000, 0.5000, 0.0000), Au at (0.5000, 0.0000, 0.0000), Cl at (0.0000, 0.0000, 0.5000) and Cl at (0.5000, 0.5000, 0.5000).

> Among the records above, which one has the lowest energy relative to the elements, uncorrected?

Ac2AuClO4